1.
Ca6Hg2H, relaxed, DFT PBE; SG = No. 14; energy = -19.1 eV per formula unit; calculated density = 3.94 g/cm3
1.0
-6.7492 0.7418 0.7432
-1.2010 -4.9892 -5.9274
0.2239 -7.7688 6.4937
Ca Hg H
12 4 2
direct
0.8844 0.9768 0.2543
0.8376 0.6855 0.5554
0.8242 0.6773 0.9477
0.6758 0.1773 0.5523
0.6624 0.1855 0.9446
0.6156 0.4768 0.2457
0.1156 0.0232 0.7457
0.1624 0.3145 0.4446
0.1758 0.3227 0.0523
0.3242 0.8227 0.4477
0.3376 0.8145 0.0554
0.3844 0.5232 0.7543
0.9500 0.3900 0.7534
0.5500 0.8900 0.7466
0.4500 0.1100 0.2534
0.0500 0.6100 0.2466
0.5000 0.5000 0.0000
0.0000 0.0000 0.5000

2.
Ca2Hg4H, relaxed, DFT PBE; SG = No. 139; energy = -9.7 eV per formula unit; calculated density = 8.21 g/cm3
1.0
4.9327 0.0000 0.0000
0.0000 4.9327 0.0000
2.4663 2.4663 7.3435
H Ca Hg
1 2 4
direct
0.0000 0.0000 0.0000
0.6520 0.6520 0.6960
0.3480 0.3480 0.3040
0.8605 0.8605 0.2790
0.1395 0.1395 0.7210
0.0000 0.5000 0.0000
0.5000 0.0000 0.0000

Question: Number 2 is which compound?
Answer: Ca2Hg4H